# 1
Here is a relaxed LaEr3Au4 crystal from Alexandria via LeMat-Bulk. Energies are from GGA-PBE.

For the energy of formation from the pure elements, the calculation gives -0.84 eV per atom.

The space group is P4/mmm (No. 123) and the conventional cell measures 5.1069, 5.1069 and 7.3043 Å, with angles of 90.00, 90.00 and 90.00 degrees. Symmetry generates all atoms from La at (0.0000, 0.0000, 0.0000), Er at (0.0000, 0.0000, 0.5000), Er at (0.5000, 0.5000, 0.0000), Er at (0.5000, 0.5000, 0.5000) and Au at (0.0000, 0.5000, 0.2678).

***

# 2
Here is a relaxed GaAg2SbSe4 crystal from Alexandria via LeMat-Bulk. Energies are from GGA-PBE.

As for the raw formation energy: -0.25 eV per atom.

The space group is P1 (No. 1) and the conventional cell measures 6.1544, 6.1556 and 7.4585 Å, with angles of 65.68, 65.69 and 89.99 degrees. Symmetry generates all atoms from Ga at (0.0000, 0.0000, 0.0000), Ag at (0.5001, 0.5002, 0.0000), Ag at (0.7503, 0.2500, 0.4999), Sb at (0.2501, 0.7499, 0.5001), Se at (0.1107, 0.1293, 0.2281), Se at (0.3575, 0.8900, 0.7716), Se at (0.6620, 0.6431, 0.2281) and Se at (0.8709, 0.3384, 0.7722).